Entry 1:
Below is an optimized crystal structure of ZnCl3, with properties calculated at the PBE-GGA level.

Computed properties:
Calculated density = 3.59 Mg/m³
VASP energy = -13.3 eV/cell
Space group = No. 223
E_form (uncorrected) = 40 meV per atom
Total magnetization = 0.55 μB/f.u.

a b c (Å): 5.418 5.418 5.418
angles (deg): 90.00 90.00 90.00
Fractional positions:
Zn1 0.000 0.000 0.000
Zn2 0.500 0.500 0.500
Cl1 0.000 0.250 0.500
Cl2 0.000 0.750 0.500
Cl3 0.250 0.500 0.000
Cl4 0.500 0.000 0.250
Cl5 0.500 0.000 0.750
Cl6 0.750 0.500 0.000

Entry 2:
Below is an optimized crystal structure of LiI, with properties calculated at the PBE-GGA level.

Computed properties:
Calculated density = 2.60 Mg/m³
VASP energy = -46.8 eV/cell
Space group = No. 83
E_form (uncorrected) = -1194 meV per atom
Total magnetization = 0.00 μB/f.u.

a b c (Å): 12.182 12.182 4.615
angles (deg): 90.00 90.00 90.00
Fractional positions:
Li1 0.071 0.380 0.000
Li2 0.126 0.713 0.500
Li3 0.287 0.126 0.500
Li4 0.380 0.929 0.000
Li5 0.620 0.071 0.000
Li6 0.713 0.874 0.500
Li7 0.874 0.287 0.500
Li8 0.929 0.620 0.000
I1 0.102 0.258 0.500
I2 0.159 0.589 0.000
I3 0.258 0.898 0.500
I4 0.411 0.159 0.000
I5 0.589 0.841 0.000
I6 0.742 0.102 0.500
I7 0.841 0.411 0.000
I8 0.898 0.742 0.500

Entry 3:
Below is an optimized crystal structure of ZnMoN2, with properties calculated at the PBE-GGA level.

Computed properties:
Calculated density = 7.67 Mg/m³
VASP energy = -28.8 eV/cell
Space group = No. 166
E_form (uncorrected) = 0 meV per atom
Total magnetization = 0.00 μB/f.u.

a b c (Å): 5.736 5.736 5.736
angles (deg): 29.70 29.70 29.70
Fractional positions:
Zn1 0.000 0.000 0.000
Mo1 0.500 0.500 0.500
N1 0.247 0.247 0.247
N2 0.753 0.753 0.753